Here is an optimized crystal structure of MnCoOs2 from Alexandria. Energies are from PBEsol.

## Properties
As for the space-group type: Cmm2 (35). The value obtained for the energy above the lowest structure with this stoichiometry is 372 meV per atom. The value obtained for the formation energy is 0.4886 eV per atom. The value obtained for the electronic total energy is -0.7345 Ry per atom.

CIF file:
```
data_MnCoOs2
_chemical_formula_sum 'Mn1 Co1 Os2'
_cell_length_a 2.609
_cell_length_b 2.609
_cell_length_c 8.508
_cell_angle_alpha 90.00
_cell_angle_beta 90.00
_cell_angle_gamma 116.18
_symmetry_space_group_name_H-M 'P 1'
_symmetry_Int_Tables_number 1
loop_
_symmetry_equiv_pos_as_xyz
'x,y,z'
loop_
_atom_site_label
_atom_site_type_symbol
_atom_site_fract_x
_atom_site_fract_y
_atom_site_fract_z
Mn1 Mn 0.000 0.000 0.000
Co1 Co 0.500 0.500 0.771
Os1 Os 0.000 0.000 0.522
Os2 Os 0.500 0.500 0.248
```